1.
VASP calculation (GGA-PBE) on a geometry-optimized NdSm8 structure. Values from VASP.

```
&SYSTEM
  ibrav = 0, nat = 9, ntyp = 2
/
ATOMIC_SPECIES
Nd 144.24 Nd.upf
Sm 150.36 Sm.upf
CELL_PARAMETERS angstrom
-1.1038 4.7671 -1.5754
-5.7578 -0.4501 -5.7146
-5.9892 2.9211 4.6484
ATOMIC_POSITIONS angstrom
Nd 0.0000 0.0000 0.0000
Sm -4.7253 5.1252 2.0452
Sm -5.9120 1.7960 1.1899
Sm -8.1950 3.2373 -1.2361
Sm -2.3678 2.5631 1.0277
Sm -4.6558 4.0009 -1.4055
Sm -4.5711 2.8798 -4.8569
Sm -2.2905 1.4372 -2.4331
Sm -5.8350 0.6750 -2.2561
```

Computed properties:
Space group: No. 139
E, eV per atom: -4.71



2.
VASP calculation (GGA-PBE) on a geometry-optimized Nd8Sm3 structure. Values from VASP.

```
&SYSTEM
  ibrav = 0, nat = 11, ntyp = 2
/
ATOMIC_SPECIES
Nd 144.24 Nd.upf
Sm 150.36 Sm.upf
CELL_PARAMETERS angstrom
-5.3436 -3.2253 -3.8372
1.0775 -6.6430 2.8966
-5.0733 0.7719 5.2294
ATOMIC_POSITIONS angstrom
Nd -5.9806 -1.2855 3.8926
Nd -5.1615 -4.7842 -1.7443
Nd -4.1778 -4.3122 6.0331
Nd -3.3587 -7.8108 0.3962
Nd -3.5536 -3.4611 1.6319
Sm -1.9979 -2.9355 4.0630
Sm -2.1330 -4.9342 -0.4703
Nd -7.9506 -2.9612 0.6826
Nd -1.3887 -6.1351 3.6061
Sm -5.2084 -1.2267 0.6961
Nd -5.7858 -5.6352 2.6569
```

Computed properties:
Space group: No. 148
Polymorph energy (0 for the lowest one), eV/atom: 0.432
E, eV per atom: -4.31



3.
VASP calculation (GGA-PBE) on a geometry-optimized Nd2Sm13 structure. Values from VASP.

```
&SYSTEM
  ibrav = 0, nat = 15, ntyp = 2
/
ATOMIC_SPECIES
Sm 150.36 Sm.upf
Nd 144.24 Nd.upf
CELL_PARAMETERS angstrom
6.7158 -0.1562 0.6676
-1.0740 9.0421 0.3653
0.3391 -3.9837 8.1897
ATOMIC_POSITIONS angstrom
Sm 0.0000 0.0000 0.0000
Sm 2.1849 -2.2825 5.3757
Sm 2.7412 4.1429 7.4579
Sm 3.2397 0.7594 1.7647
Sm 4.0271 5.4927 0.9896
Sm 2.1847 3.7673 3.7462
Sm 5.4162 -1.4946 7.1841
Sm 5.6671 2.8460 2.6717
Sm 3.7963 1.1349 5.4764
Sm 0.5648 6.3968 2.0385
Sm 0.3139 2.0563 6.5509
Sm 1.9538 -0.5904 8.2330
Sm 3.7961 7.1848 3.8469
Nd 0.5805 0.3650 3.6994
Nd 5.4004 4.5373 5.5232
```

Computed properties:
Space group: No. 2
E, eV per atom: -4.67



4.
VASP calculation (GGA-PBE) on a geometry-optimized NdSm2Sn9 structure. Values from VASP.

```
&SYSTEM
  ibrav = 0, nat = 12, ntyp = 3
/
ATOMIC_SPECIES
Sn 118.71 Sn.upf
Nd 144.24 Nd.upf
Sm 150.36 Sm.upf
CELL_PARAMETERS angstrom
-4.3149 1.4140 -1.3383
-1.9468 -3.1032 2.9982
0.0558 10.0134 10.4000
ATOMIC_POSITIONS angstrom
Sn -2.1481 2.3917 1.0807
Sn -3.0937 5.8209 7.7528
Nd 0.0000 0.0000 0.0000
Sm 0.0372 6.6692 6.9267
Sn -2.1296 5.7137 4.5309
Sn -3.1122 2.5033 4.3071
Sn -0.9455 3.4551 6.6991
Sn -2.1111 9.0356 7.9811
Sm 0.0186 3.3442 3.4733
Sn -0.9270 6.7771 10.1493
Sn -3.1309 -0.8446 0.8300
Sn -0.9640 0.1332 3.2489
```

Computed properties:
Space group: No. 123
E, eV per atom: -4.67



5.
VASP calculation (GGA-PBE) on a geometry-optimized Nd6Sm12Sn structure. Values from VASP.

```
&SYSTEM
  ibrav = 0, nat = 19, ntyp = 3
/
ATOMIC_SPECIES
Sm 150.36 Sm.upf
Nd 144.24 Nd.upf
Sn 118.71 Sn.upf
CELL_PARAMETERS angstrom
8.5770 0.7067 0.8466
-0.6018 8.5850 0.8466
-0.6018 -0.7011 8.5981
ATOMIC_POSITIONS angstrom
Sm 1.2705 3.7185 5.4548
Sm 4.4237 8.3486 8.3730
Sm 2.9178 6.6218 5.6579
Sm 4.4556 1.9687 4.6334
Nd 7.1492 2.7023 7.4098
Nd 0.2242 5.8882 2.8814
Sm 7.5814 7.2307 7.0437
Sn 0.0000 0.0000 0.0000
Sm 3.8905 3.5487 7.5263
Sm 2.9497 0.2420 1.9183
Sm 3.4829 5.0419 2.7650
Sm 1.3757 3.1952 0.5809
Nd 5.6452 8.0986 3.9829
Sm 5.9977 5.3953 9.7104
Sm 6.1029 4.8721 4.8364
Nd 1.5873 5.9546 8.6800
Nd 1.7282 0.4919 6.3083
Nd 5.7862 2.6359 1.6113
Sm -0.2080 1.3599 3.2476
```

Computed properties:
Space group: No. 148
E, eV per atom: -4.67



6.
VASP calculation (GGA-PBE) on a geometry-optimized NdSmSn6 structure. Values from VASP.

```
&SYSTEM
  ibrav = 0, nat = 8, ntyp = 3
/
ATOMIC_SPECIES
Sn 118.71 Sn.upf
Sm 150.36 Sm.upf
Nd 144.24 Nd.upf
CELL_PARAMETERS angstrom
4.7548 0.0000 0.0000
0.0000 4.7548 0.0000
0.0000 0.0000 9.5670
ATOMIC_POSITIONS angstrom
Sn 2.3774 0.0000 2.4098
Sm 0.0000 0.0000 4.7835
Nd 0.0000 0.0000 0.0000
Sn 0.0000 2.3774 7.1572
Sn 2.3774 2.3774 0.0000
Sn 2.3774 2.3774 4.7835
Sn 0.0000 2.3774 2.4098
Sn 2.3774 0.0000 7.1572
```

Computed properties:
Space group: No. 123
E, eV per atom: -4.67



7.
VASP calculation (GGA-PBE) on a geometry-optimized NdSmSn2 structure. Values from VASP.

```
&SYSTEM
  ibrav = 0, nat = 4, ntyp = 3
/
ATOMIC_SPECIES
Sn 118.71 Sn.upf
Nd 144.24 Nd.upf
Sm 150.36 Sm.upf
CELL_PARAMETERS angstrom
3.5299 0.0000 0.0000
0.0000 3.5299 0.0000
0.0000 0.0000 9.0540
ATOMIC_POSITIONS angstrom
Sn 0.0000 0.0000 2.2383
Nd 1.7649 1.7649 4.5270
Sm 1.7649 1.7649 0.0000
Sn 0.0000 0.0000 6.8157
```

Computed properties:
Space group: No. 123
E, eV per atom: -5.04



8.
VASP calculation (GGA-PBE) on a geometry-optimized Nd6Sm8Sn structure. Values from VASP.

```
&SYSTEM
  ibrav = 0, nat = 15, ntyp = 3
/
ATOMIC_SPECIES
Sm 150.36 Sm.upf
Nd 144.24 Nd.upf
Sn 118.71 Sn.upf
CELL_PARAMETERS angstrom
6.6536 0.0000 0.0000
0.0000 8.1754 -4.7200
0.0000 0.0000 9.4401
ATOMIC_POSITIONS angstrom
Sm 1.2081 6.3260 -3.2878
Nd 4.4586 5.2867 -2.1963
Sm 5.4455 0.3155 2.3175
Sm 5.4455 6.0106 3.8345
Sm 1.2081 2.1651 0.8855
Sm 5.4455 1.8493 8.0081
Sm 5.7563 2.7251 4.7201
Nd 4.4586 7.4340 0.9565
Nd 2.1950 0.7414 3.7634
Nd 2.1950 2.8885 6.9163
Sm 1.2081 7.8597 2.4023
Sm 0.8969 5.4502 0.0000
Sn 3.3272 0.0000 0.0000
Nd 4.4586 3.6300 1.2397
Nd 2.1950 4.5455 3.4804
```

Computed properties:
Space group: No. 147
E, eV per atom: -4.67



9.
VASP calculation (GGA-PBE) on a geometry-optimized NdSm4Sn2 structure. Values from VASP.

```
&SYSTEM
  ibrav = 0, nat = 7, ntyp = 3
/
ATOMIC_SPECIES
Sm 150.36 Sm.upf
Sn 118.71 Sn.upf
Nd 144.24 Nd.upf
CELL_PARAMETERS angstrom
-2.4756 0.3057 -4.8557
-1.1148 -5.3388 0.2323
-5.2972 4.1594 6.0311
ATOMIC_POSITIONS angstrom
Sm -6.2875 -1.4760 0.0441
Sm -2.6001 0.6022 1.3635
Sm -1.2378 0.1528 -2.4279
Sn -5.2529 1.2167 2.7547
Sm -0.5574 -2.6694 0.1161
Nd 0.0000 0.0000 0.0000
Sn -3.6347 -2.0905 -1.3470
```

Computed properties:
Space group: No. 139
E, eV per atom: -4.23



10.
VASP calculation (GGA-PBE) on a geometry-optimized Nd7SmSn4 structure. Values from VASP.

```
&SYSTEM
  ibrav = 0, nat = 12, ntyp = 3
/
ATOMIC_SPECIES
Sn 118.71 Sn.upf
Nd 144.24 Nd.upf
Sm 150.36 Sm.upf
CELL_PARAMETERS angstrom
5.8938 0.0000 0.0000
2.9469 9.2366 0.1939
2.9469 0.3982 7.1138
ATOMIC_POSITIONS angstrom
Sn 2.9469 3.0511 0.5357
Nd 5.8938 3.6837 1.7906
Nd 2.9469 0.0000 0.0000
Sn 5.8938 7.2110 2.7329
Sn 5.8938 2.4238 4.5748
Sn 8.8407 6.5837 6.7720
Sm 0.0000 0.0000 0.0000
Nd 8.8407 8.4055 3.9555
Nd 8.8407 3.7351 5.3684
Nd 2.9469 1.2293 3.3522
Nd 5.8938 5.9511 5.5171
Nd 2.9469 5.8997 1.9393
```

Computed properties:
Space group: No. 12
E, eV per atom: -4.82



11.
VASP calculation (GGA-PBE) on a geometry-optimized Nd3Sm5Sn2 structure. Values from VASP.

```
&SYSTEM
  ibrav = 0, nat = 20, ntyp = 3
/
ATOMIC_SPECIES
Nd 144.24 Nd.upf
Sm 150.36 Sm.upf
Sn 118.71 Sn.upf
CELL_PARAMETERS angstrom
-2.6968 5.2466 -2.8499
2.5789 -0.2348 -10.4030
-10.3627 -2.1585 -1.6982
ATOMIC_POSITIONS angstrom
Nd -0.9606 2.9552 -8.7113
Sm -1.2910 -0.1617 -6.6063
Sn -9.1014 1.8005 -3.1335
Nd -2.0226 3.9350 -2.1374
Sn -1.3791 1.0527 -11.8176
Nd -3.6279 3.5976 -12.5348
Sm -5.9145 2.7383 -8.1880
Sm -3.3074 2.0054 -4.4740
Nd -9.5199 -0.1019 -6.2399
Sn 1.3702 0.5334 -7.8450
Sm -4.6558 4.6287 -5.8989
Nd -6.8526 -0.7444 -2.4163
Nd -0.6742 1.3117 -0.7125
Sn -11.8507 2.3199 -7.1061
Sm -4.5661 0.1150 -6.7631
Sm -3.5977 1.0224 -9.7740
Sm -7.1731 0.8479 -10.4771
Sm -9.1895 3.0149 -8.3448
Sm -6.8828 1.8309 -5.1771
Sm -5.8248 -1.7754 -9.0522
```

Computed properties:
Space group: No. 72
E, eV per atom: -4.68



12.
VASP calculation (GGA-PBE) on a geometry-optimized Nd2SmSn structure. Values from VASP.

```
&SYSTEM
  ibrav = 0, nat = 4, ntyp = 3
/
ATOMIC_SPECIES
Sn 118.71 Sn.upf
Nd 144.24 Nd.upf
Sm 150.36 Sm.upf
CELL_PARAMETERS angstrom
-2.3376 -3.9018 -1.9774
1.2812 -2.7366 3.8852
-4.1475 1.3204 2.2977
ATOMIC_POSITIONS angstrom
Sn -1.1688 -1.9509 -0.9887
Nd -2.0738 0.6602 1.1489
Sm -2.6020 -2.6590 2.1028
Nd 0.6406 -1.3683 1.9426
```

Computed properties:
Space group: No. 123
Polymorph energy (0 for the lowest one), eV/atom: 0.000
E, eV per atom: -5.01



13.
VASP calculation (GGA-PBE) on a geometry-optimized NdSm5Sn3 structure. Values from VASP.

```
&SYSTEM
  ibrav = 0, nat = 18, ntyp = 3
/
ATOMIC_SPECIES
Sn 118.71 Sn.upf
Nd 144.24 Nd.upf
Sm 150.36 Sm.upf
CELL_PARAMETERS angstrom
6.7068 0.0000 0.0000
0.0000 9.5516 0.0000
0.0000 -4.7758 8.2716
ATOMIC_POSITIONS angstrom
Sn 1.6767 3.1973 0.0000
Nd 0.0000 0.0000 0.0000
Sm 0.0000 0.0000 5.5145
Sm 5.0301 3.1851 5.5166
Sn 1.6767 7.9529 2.7686
Sn 5.0301 -3.1771 5.5030
Sn 5.0301 6.3542 0.0000
Nd 3.3534 0.0000 0.0000
Sm 5.0301 3.1810 0.0000
Sm 1.6767 1.5907 2.7550
Sm 3.3534 0.0000 5.5145
Sm 1.6767 6.3705 0.0000
Sm 5.0301 7.9609 2.7550
Sm 1.6767 -3.1851 5.5166
Sn 5.0301 1.5987 2.7686
Sm 0.0000 4.7758 2.7571
Sm 3.3534 4.7758 2.7571
Sn 1.6767 3.1771 5.5030
```

Computed properties:
Space group: No. 193
E, eV per atom: -5.06



14.
VASP calculation (GGA-PBE) on a geometry-optimized Nd4SmSn structure. Values from VASP.

```
&SYSTEM
  ibrav = 0, nat = 12, ntyp = 3
/
ATOMIC_SPECIES
Nd 144.24 Nd.upf
Sm 150.36 Sm.upf
Sn 118.71 Sn.upf
CELL_PARAMETERS angstrom
-1.1465 0.1672 5.2968
3.4489 -5.7835 0.9290
10.6178 6.2236 -0.6734
ATOMIC_POSITIONS angstrom
Nd 2.1954 -0.7389 3.2736
Nd 3.7624 2.2106 3.5197
Nd 5.7472 -2.9273 1.3364
Nd 7.9501 0.4221 1.7074
Sm 9.9346 3.6773 2.0342
Sn 8.9247 -0.4896 4.7223
Nd 5.4692 -0.6496 3.9794
Sm 3.4833 -3.9046 3.6523
Nd 11.2226 0.5114 2.4130
Nd 6.2063 3.3442 1.2378
Nd 7.6714 2.6990 4.3504
Sn 4.4948 0.2598 0.9647
```

Computed properties:
Space group: No. 63
E, eV per atom: -4.58



15.
VASP calculation (GGA-PBE) on a geometry-optimized Nd5Sm2Sn4 structure. Values from VASP.

```
&SYSTEM
  ibrav = 0, nat = 11, ntyp = 3
/
ATOMIC_SPECIES
Nd 144.24 Nd.upf
Sn 118.71 Sn.upf
Sm 150.36 Sm.upf
CELL_PARAMETERS angstrom
3.5696 0.0000 0.0000
0.0000 7.5306 0.7995
-1.7848 -1.7774 13.5065
ATOMIC_POSITIONS angstrom
Nd 1.7848 -0.0002 9.9110
Nd 0.0000 1.9107 2.6847
Sn 0.0000 4.8641 1.3398
Nd 1.7848 0.0000 0.0000
Sn 1.7848 3.1487 5.1359
Sn 1.7848 0.8891 12.9662
Nd 0.0000 5.7535 4.3950
Sm 1.7848 4.9243 7.7841
Nd 1.7848 3.8425 11.6212
Sn 0.0000 2.6046 9.1700
Sm 0.0000 0.8290 6.5219
```

Computed properties:
Space group: No. 12
E, eV per atom: -4.75



16.
VASP calculation (GGA-PBE) on a geometry-optimized Nd3Sm2Sn structure. Values from VASP.

```
&SYSTEM
  ibrav = 0, nat = 6, ntyp = 3
/
ATOMIC_SPECIES
Nd 144.24 Nd.upf
Sn 118.71 Sn.upf
Sm 150.36 Sm.upf
CELL_PARAMETERS angstrom
-4.4740 -2.0738 -0.7474
2.1814 -4.2364 -1.3033
-1.2366 -0.2310 8.0434
ATOMIC_POSITIONS angstrom
Nd -1.1463 -3.1551 -1.0254
Sn 0.0000 0.0000 0.0000
Sm -0.0991 -1.5954 5.0199
Nd -2.2847 -1.8050 2.0430
Sm 1.0439 -2.8720 1.7202
Nd -1.2445 -4.7362 3.9497
```

Computed properties:
Space group: No. 65
Polymorph energy (0 for the lowest one), eV/atom: 0.000
E, eV per atom: -4.89



17.
VASP calculation (GGA-PBE) on a geometry-optimized Nd2Sm5Sn5 structure. Values from VASP.

```
&SYSTEM
  ibrav = 0, nat = 12, ntyp = 3
/
ATOMIC_SPECIES
Sm 150.36 Sm.upf
Nd 144.24 Nd.upf
Sn 118.71 Sn.upf
CELL_PARAMETERS angstrom
-3.4410 -0.7653 -2.7162
-2.5935 -0.9326 7.1939
-0.7647 12.7208 -2.6156
ATOMIC_POSITIONS angstrom
Sm -2.1029 5.9777 -2.6659
Sm -3.1165 -0.2669 0.3778
Sm -2.8256 7.5819 1.4432
Nd -1.0209 9.8237 -1.4747
Sn -1.3460 5.1599 0.2513
Sm -3.9736 3.4409 0.4189
Sn 0.0000 0.0000 0.0000
Sn -4.1059 9.2646 -1.0545
Sn -2.6933 1.7582 2.9166
Sm -3.6827 11.2897 1.4843
Nd -5.7783 1.1991 3.3368
Sn -5.4532 5.8629 1.6108
```

Computed properties:
Space group: No. 12
E, eV per atom: -4.96



18.
VASP calculation (GGA-PBE) on a geometry-optimized Nd2Sm2Sn structure. Values from VASP.

```
&SYSTEM
  ibrav = 0, nat = 5, ntyp = 3
/
ATOMIC_SPECIES
Sm 150.36 Sm.upf
Nd 144.24 Nd.upf
Sn 118.71 Sn.upf
CELL_PARAMETERS angstrom
-2.4925 -0.1704 3.6354
3.5584 -1.0384 2.3910
1.0033 9.2242 -1.5559
ATOMIC_POSITIONS angstrom
Sm 2.5473 3.7907 1.9242
Sm -0.4781 4.2247 2.5463
Nd 0.7935 0.8574 3.2603
Nd 1.2757 7.1580 1.2101
Sn 0.0000 0.0000 0.0000
```

Computed properties:
Space group: No. 139
E, eV per atom: -4.45



19.
VASP calculation (GGA-PBE) on a geometry-optimized Nd4SmSn2 structure. Values from VASP.

```
&SYSTEM
  ibrav = 0, nat = 7, ntyp = 3
/
ATOMIC_SPECIES
Sn 118.71 Sn.upf
Sm 150.36 Sm.upf
Nd 144.24 Nd.upf
CELL_PARAMETERS angstrom
-0.5587 0.3424 -5.2362
3.8860 -1.6230 -3.1799
-3.0335 -9.9870 -2.9884
ATOMIC_POSITIONS angstrom
Sn -1.1035 -8.5194 -5.7575
Sm 0.1469 -5.6338 -5.7022
Nd 0.6288 -1.5353 -2.8266
Sn 1.3973 -2.7482 -5.6470
Nd -1.6525 -6.8000 -2.9274
Nd 1.9463 -4.4676 -8.4771
Nd -0.3350 -9.7323 -8.5779
```

Computed properties:
Space group: No. 166
E, eV per atom: -4.79



20.
VASP calculation (GGA-PBE) on a geometry-optimized Nd5Sm5Sn6 structure. Values from VASP.

```
&SYSTEM
  ibrav = 0, nat = 16, ntyp = 3
/
ATOMIC_SPECIES
Sn 118.71 Sn.upf
Nd 144.24 Nd.upf
Sm 150.36 Sm.upf
CELL_PARAMETERS angstrom
-6.1610 -1.4146 -2.5049
2.4195 -8.8809 -0.9356
-3.8754 2.9474 7.8673
ATOMIC_POSITIONS angstrom
Sn 0.8920 -7.7116 2.1611
Nd -1.2208 -5.2901 1.3730
Sm -6.3717 0.1010 6.3859
Sm -4.1876 -5.2195 4.0188
Sn -3.6517 -3.0352 1.4671
Nd -6.3959 -2.0575 3.0531
Sn -2.9192 -0.5503 7.4907
Nd -0.3484 -1.4198 1.6586
Sm -1.5950 -8.8746 -0.2939
Nd -4.2994 -5.9969 0.1213
Nd -3.3173 -1.3506 4.3048
Sn -0.8857 -3.6099 4.2171
Sm 1.8368 -6.7446 -0.7087
Sn -3.0151 -7.7970 2.5906
Sn -5.4858 -3.1544 6.0457
Sm -2.9429 2.2365 5.9752
```

Computed properties:
Space group: No. 38
E, eV per atom: -5.16